A relaxed TbNdBi2S2 crystal. Source: OQMD via LeMat-Bulk, functional PBE.

Summary:
SG: P4mm (99)
total energy: -5.564 eV/atom

a = 4.2437 Å, b = 4.2437 Å, c = 8.8755 Å
α = 90.00°, β = 90.00°, γ = 90.00°
With the nearest neighbours (Å) after each atom.
Atoms (fractional coordinates):
Tb 0.0000 0.0000 0.0000  5 S 2.72-3.04
Nd 0.5000 0.5000 0.6316  5 S 2.81-3.05
Bi 0.0000 0.5000 0.3131  4 Bi 3.00
Bi 0.5000 0.0000 0.3131  4 Bi 3.00
S 0.0000 0.0000 0.6938  1 Tb 2.72
S 0.5000 0.5000 0.9483  1 Nd 2.81, 4 Tb 3.04

A relaxed NdBiSb crystal. Source: OQMD via LeMat-Bulk, functional PBE.

Summary:
SG: F-43m (216)
relative energy among the computed polymorphs: 0.0 meV per atom

a = 5.2793 Å, b = 5.2793 Å, c = 5.2793 Å
α = 60.00°, β = 60.00°, γ = 60.00°
With the nearest neighbours (Å) after each atom.
Atoms (fractional coordinates):
Nd 0.0000 0.0000 0.0000  4 Sb 3.23
Bi 0.5000 0.5000 0.5000  4 Sb 3.23
Sb 0.7500 0.7500 0.7500  4 Bi 3.23, 4 Nd 3.23

A relaxed NdBiSb crystal. Source: OQMD via LeMat-Bulk, functional PBE.

Summary:
SG: F-43m (216)
relative energy among the computed polymorphs: 39.6 meV per atom

a = 5.3274 Å, b = 5.3274 Å, c = 5.3274 Å
α = 60.00°, β = 60.00°, γ = 60.00°
With the nearest neighbours (Å) after each atom.
Atoms (fractional coordinates):
Nd 0.0000 0.0000 0.0000  4 Sb 3.26, 4 Bi 3.26
Bi 0.7500 0.7500 0.7500  4 Nd 3.26
Sb 0.2500 0.2500 0.2500  4 Nd 3.26

A relaxed Nd4BiSb3 crystal. Source: OQMD via LeMat-Bulk, functional PBE.

Summary:
SG: Pm-3m (221)
total energy: -5.565 eV/atom

a = 6.4246 Å, b = 6.4246 Å, c = 6.4246 Å
α = 90.00°, β = 90.00°, γ = 90.00°
With the nearest neighbours (Å) after each atom.
Atoms (fractional coordinates):
Nd 0.0000 0.0000 0.0000  6 Sb 3.21
Nd 0.0000 0.5000 0.5000  4 Sb 3.21, 2 Bi 3.21
Nd 0.5000 0.0000 0.5000  4 Sb 3.21, 2 Bi 3.21
Nd 0.5000 0.5000 0.0000  4 Sb 3.21, 2 Bi 3.21
Bi 0.5000 0.5000 0.5000  6 Nd 3.21
Sb 0.0000 0.0000 0.5000  6 Nd 3.21
Sb 0.0000 0.5000 0.0000  6 Nd 3.21
Sb 0.5000 0.0000 0.0000  6 Nd 3.21

A relaxed Nd2SmBi3 crystal. Source: OQMD via LeMat-Bulk, functional PBE.

Summary:
SG: P-3m1 (164)
total energy: -5.353 eV/atom

a = 4.5508 Å, b = 4.5508 Å, c = 11.1893 Å
α = 90.00°, β = 90.00°, γ = 120.00°
With the nearest neighbours (Å) after each atom.
Atoms (fractional coordinates):
Nd 0.3333 0.6667 0.3321  6 Bi 3.23
Nd 0.6667 0.3333 0.6679  6 Bi 3.23
Sm 0.0000 0.0000 0.0000  6 Bi 3.20
Bi 0.0000 0.0000 0.5000  6 Nd 3.23
Bi 0.3333 0.6667 0.8360  3 Sm 3.20, 3 Nd 3.23
Bi 0.6667 0.3333 0.1640  3 Sm 3.20, 3 Nd 3.23

A relaxed NdSmBi crystal. Source: OQMD via LeMat-Bulk, functional PBE.

Summary:
SG: F-43m (216)
total energy: -4.939 eV/atom

a = 5.2920 Å, b = 5.2920 Å, c = 5.2920 Å
α = 60.00°, β = 60.00°, γ = 60.00°
With the nearest neighbours (Å) after each atom.
Atoms (fractional coordinates):
Nd 0.0000 0.0000 0.0000  4 Bi 3.24
Sm 0.5000 0.5000 0.5000  4 Bi 3.24
Bi 0.2500 0.2500 0.2500  4 Nd 3.24, 4 Sm 3.24